DFT (GGA+U) results for a relaxed Ba4CoI2O12 crystal.

Results
DFT total energy, Ry/atom: -0.409
Spin magnetization, μB/cell: 3.0

a = 9.897 Å, b = 9.897 Å, c = 9.897 Å
α = 33.66°, β = 33.66°, γ = 33.66°
Each line ends with the local moment (μB).
Sites, in units of the cell vectors:
O: 0.782 0.782 0.306  0.02
O: 0.694 0.218 0.218  0.02
O: 0.218 0.218 0.694  0.02
O: 0.306 0.782 0.782  0.02
O: 0.613 0.134 0.613  0.01
O: 0.613 0.613 0.134  0.01
O: 0.387 0.387 0.866  0.01
O: 0.387 0.866 0.387  0.01
O: 0.134 0.613 0.613  0.01
O: 0.866 0.387 0.387  0.01
O: 0.782 0.306 0.782  0.03
O: 0.218 0.694 0.218  0.03
Ba: 0.867 0.867 0.867  0.00
Ba: 0.709 0.709 0.709  0.00
Ba: 0.133 0.133 0.133  0.00
Ba: 0.291 0.291 0.291  0.00
Co: 0.000 0.000 0.000  2.70
I: 0.582 0.582 0.582  0.03
I: 0.418 0.418 0.418  0.03